(1)
An optimized crystal structure of Fe2PPt. Source: Alexandria via LeMat-Bulk, functional PBE.

```
Fe2PPt
1.0
-1.863 1.863 3.753
1.863 -1.863 3.753
1.863 1.863 -3.753
Fe P Pt
2 1 1
Cartesian
0.000 0.000 0.000
0.000 1.863 1.877
1.863 0.000 1.877
0.000 0.000 3.753
```

space-group type: No. 119



(2)
An optimized crystal structure of FeP2Pt. Source: Alexandria via LeMat-Bulk, functional PBE.

```
FeP2Pt
1.0
-2.581 2.581 5.149
2.581 -2.581 5.149
2.581 2.581 -5.149
Fe P Pt
2 4 2
Cartesian
0.000 0.000 0.000
0.000 2.581 2.575
3.871 1.133 -1.287
1.133 1.290 1.287
-1.290 1.448 3.862
1.448 1.290 6.437
2.581 0.000 2.575
0.000 0.000 5.149
```

space-group type: No. 122
distance to the lowest polymorph of the same formula: 123 meV per atom



(3)
An optimized crystal structure of Fe2PPt. Source: Alexandria via LeMat-Bulk, functional PBE.

```
Fe2PPt
1.0
2.754 0.000 0.000
0.000 3.660 0.000
-1.129 0.000 5.011
Fe P Pt
2 1 1
Cartesian
0.001 0.000 1.436
1.624 0.000 3.575
0.813 1.830 2.506
1.377 1.830 0.000
```

space-group type: No. 10



(4)
An optimized crystal structure of Fe2PPt. Source: Alexandria via LeMat-Bulk, functional PBE.

```
Fe2PPt
1.0
3.649 0.000 0.000
0.000 3.649 0.000
0.000 0.000 3.611
Fe P Pt
2 1 1
Cartesian
0.000 1.825 0.000
1.825 0.000 0.000
0.000 0.000 1.805
1.825 1.825 1.805
```

space-group type: No. 123



(5)
An optimized crystal structure of Fe2PPt. Source: Alexandria via LeMat-Bulk, functional PBE.

```
Fe2PPt
1.0
2.814 0.000 0.000
0.000 2.814 0.000
0.000 0.000 6.447
Fe P Pt
2 1 1
Cartesian
0.000 0.000 0.000
1.407 1.407 1.710
0.000 0.000 2.743
1.407 1.407 4.606
```

space-group type: No. 99



(6)
An optimized crystal structure of FePPt2. Source: Alexandria via LeMat-Bulk, functional PBE.

```
FePPt2
1.0
3.847 0.000 0.000
0.000 3.847 0.000
0.000 0.000 3.893
Fe P Pt
1 1 2
Cartesian
0.000 0.000 0.000
1.924 1.924 0.000
0.000 1.924 1.947
1.924 0.000 1.947
```

space-group type: No. 123



(7)
An optimized crystal structure of Fe2PPt. Source: Alexandria via LeMat-Bulk, functional PBE.

```
Fe2PPt
1.0
2.777 0.000 0.000
0.000 3.702 0.000
0.000 0.000 5.058
Fe P Pt
2 1 1
Cartesian
0.000 0.000 1.167
0.000 0.000 3.891
1.388 1.851 0.000
1.388 1.851 2.529
```

space-group type: No. 47



(8)
An optimized crystal structure of Fe2PPt. Source: Alexandria via LeMat-Bulk, functional PBE.

```
Fe2PPt
1.0
-1.783 1.783 8.743
1.783 -1.783 8.743
1.783 1.783 -8.743
Fe P Pt
4 2 2
Cartesian
2.674 0.785 -2.186
0.785 0.891 2.186
-0.891 0.998 6.558
0.998 0.891 10.929
0.000 0.000 0.000
0.000 1.783 4.372
1.783 0.000 4.372
0.000 0.000 8.743
```

space-group type: No. 122



(9)
An optimized crystal structure of FePPt2. Source: Alexandria via LeMat-Bulk, functional PBE.

```
FePPt2
1.0
4.590 0.000 0.000
0.000 4.590 0.000
0.000 0.000 2.774
Fe P Pt
1 1 2
Cartesian
0.000 0.000 0.000
2.295 2.295 0.000
0.000 2.295 1.387
2.295 0.000 1.387
```

space-group type: No. 123



(10)
An optimized crystal structure of FePPt2. Source: Alexandria via LeMat-Bulk, functional PBE.

```
FePPt2
1.0
4.776 -1.479 0.000
4.776 1.479 0.000
-2.008 0.000 4.021
Fe P Pt
1 1 2
Cartesian
0.000 0.000 0.000
6.051 0.000 1.201
0.509 0.000 2.941
3.109 0.000 1.671
```

space-group type: No. 8



(11)
An optimized crystal structure of Fe2PPt. Source: Alexandria via LeMat-Bulk, functional PBE.

```
Fe2PPt
1.0
3.559 0.000 0.000
0.000 1.394 5.178
0.000 -1.394 5.178
Fe P Pt
2 1 1
Cartesian
0.000 0.000 0.000
1.780 0.000 3.849
1.780 0.000 6.024
0.000 0.000 7.625
```

space-group type: No. 38



(12)
An optimized crystal structure of FeP2Pt. Source: Alexandria via LeMat-Bulk, functional PBE.

```
FeP2Pt
1.0
3.329 -1.649 0.000
3.329 1.649 0.000
-0.213 0.000 5.098
Fe P Pt
1 2 1
Cartesian
0.000 0.000 0.000
2.207 0.000 0.979
4.496 0.000 4.097
0.456 0.000 2.551
```

space-group type: No. 8
distance to the lowest polymorph of the same formula: 0 meV per atom



Number 1: formation energy from the elements -0.03 eV/atom, total magnetization 5.5 μB per cell, calculated volume 52.1 Å³/cell. Number 2: formation energy from the elements -0.23 eV/atom, total magnetization 0.0 μB per cell, calculated volume 137.2 Å³/cell. Number 3: formation energy from the elements -0.16 eV/atom, total magnetization 4.1 μB per cell, calculated volume 50.5 Å³/cell. Number 4: formation energy from the elements 0.04 eV/atom, total magnetization 1.4 μB per cell, calculated volume 48.1 Å³/cell. Number 5: formation energy from the elements -0.12 eV/atom, total magnetization 4.3 μB per cell, calculated volume 51.0 Å³/cell. Number 6: formation energy from the elements 0.03 eV/atom, total magnetization 3.3 μB per cell, calculated volume 57.6 Å³/cell. Number 7: formation energy from the elements -0.08 eV/atom, total magnetization 5.4 μB per cell, calculated volume 52.0 Å³/cell. Number 8: formation energy from the elements 0.12 eV/atom, total magnetization 10.0 μB per cell, calculated volume 111.1 Å³/cell. Number 9: formation energy from the elements 0.03 eV/atom, total magnetization 3.4 μB per cell, calculated volume 58.4 Å³/cell. Number 10: formation energy from the elements -0.16 eV/atom, total magnetization 2.5 μB per cell, calculated volume 56.8 Å³/cell. Number 11: formation energy from the elements -0.20 eV/atom, total magnetization 4.2 μB per cell, calculated volume 51.4 Å³/cell. Number 12: formation energy from the elements -0.36 eV/atom, total magnetization 0.0 μB per cell, calculated volume 56.0 Å³/cell.